Nd6Sm2Tm | GGA-PBE | optimized geometry

a b c (Å): 10.123 10.123 3.668
angles (deg): 90.00 90.00 124.07
Fractional positions:
1 Nd 0.010 0.340 0.000
2 Nd 0.185 0.185 0.500
3 Nd 0.340 0.010 0.000
4 Nd 0.660 0.990 0.000
5 Nd 0.815 0.815 0.500
6 Nd 0.990 0.660 0.000
7 Sm 0.325 0.675 0.500
8 Sm 0.675 0.325 0.500
9 Tm 0.500 0.500 0.000

V ... 311.4 Å³ per cell
Energy above the lowest structure with this stoichiometry ... 49 meV/atom
Formation enthalpy at 0 K ... 0.130 eV per atom